A relaxed structure of MgScSe. Source: Alexandria via LeMat-Bulk, functional PBE-GGA. Values from VASP.

```
&SYSTEM
  ibrav = 0, nat = 6, ntyp = 3
/
ATOMIC_SPECIES
Mg 24.30 Mg.upf
Sc 44.96 Sc.upf
Se 78.96 Se.upf
CELL_PARAMETERS angstrom
2.361 1.363 7.377
-2.361 1.363 7.377
0.000 -2.726 7.377
ATOMIC_POSITIONS angstrom
Mg 0.000 0.000 3.670
Mg 0.000 0.000 18.461
Sc 0.000 0.000 9.185
Sc 0.000 0.000 12.945
Se 0.000 0.000 6.310
Se 0.000 0.000 15.820
```

Results
Its polymorph energy (0 for the lowest one) is 24 meV/atom. As for the formation energy without anion corrections: -2.26 eV per formula unit. The size of the total moment comes out at 0.000 μB/atom. For the volume, the calculation gives 23.7 A^3/atom.